Record 1
Density functional theory data (GGA-PBE) for AsOs2Au after structural relaxation.

```
data_AsOs2Au
_chemical_formula_sum 'As4 Os8 Au4'
_cell_length_a 3.887
_cell_length_b 3.887
_cell_length_c 18.690
_cell_angle_alpha 90.00
_cell_angle_beta 90.00
_cell_angle_gamma 90.00
_space_group_name_H-M_alt 'P 1'
_space_group_IT_number 1
_space_group_name_Hall 'P 1'
loop_
_atom_site_label
_atom_site_type_symbol
_atom_site_fract_x
_atom_site_fract_y
_atom_site_fract_z
As1 As 0.000 0.000 0.000
As2 As 0.000 0.500 0.250
As3 As 0.500 0.000 0.750
As4 As 0.500 0.500 0.500
Os1 Os 0.190 0.250 0.125
Os2 Os 0.250 0.690 0.375
Os3 Os 0.250 0.810 0.875
Os4 Os 0.310 0.250 0.625
Os5 Os 0.690 0.750 0.625
Os6 Os 0.750 0.190 0.875
Os7 Os 0.750 0.310 0.375
Os8 Os 0.810 0.750 0.125
Au1 Au 0.000 0.000 0.500
Au2 Au 0.000 0.500 0.750
Au3 Au 0.500 0.000 0.250
Au4 Au 0.500 0.500 0.000
```

Results
Magnetization   0.00 μB per formula unit
Density   15.35 Mg/m³
Crystal system   tetragonal
Formation enthalpy at 0 K   915 meV per atom

Record 2
Density functional theory data (GGA-PBE) for KTlSnSe2 after structural relaxation.

```
data_KTlSnSe2
_chemical_formula_sum 'K2 Tl2 Sn2 Se4'
_cell_length_a 8.321
_cell_length_b 8.321
_cell_length_c 11.904
_cell_angle_alpha 119.71
_cell_angle_beta 119.71
_cell_angle_gamma 30.00
_space_group_name_H-M_alt 'P 1'
_space_group_IT_number 1
_space_group_name_Hall 'P 1'
loop_
_atom_site_label
_atom_site_type_symbol
_atom_site_fract_x
_atom_site_fract_y
_atom_site_fract_z
K1 K 0.224 0.224 0.171
K2 K 0.776 0.776 0.829
Tl1 Tl 0.107 0.107 0.461
Tl2 Tl 0.893 0.893 0.539
Sn1 Sn 0.464 0.464 0.117
Sn2 Sn 0.536 0.536 0.883
Se1 Se 0.109 0.109 0.809
Se2 Se 0.353 0.353 0.687
Se3 Se 0.647 0.647 0.313
Se4 Se 0.891 0.891 0.191
```

Results
Magnetization   0.00 μB per formula unit
Density   4.88 Mg/m³
Crystal system   monoclinic
Energy relative to the elements, uncorrected   -0.648 eV per atom

Record 3
Density functional theory data (GGA-PBE) for ReSe2N2 after structural relaxation.

```
data_ReSe2N2
_chemical_formula_sum 'Re1 Se2 N2'
_cell_length_a 3.704
_cell_length_b 3.704
_cell_length_c 6.652
_cell_angle_alpha 90.00
_cell_angle_beta 90.00
_cell_angle_gamma 90.00
_space_group_name_H-M_alt 'P 1'
_space_group_IT_number 1
_space_group_name_Hall 'P 1'
loop_
_atom_site_label
_atom_site_type_symbol
_atom_site_fract_x
_atom_site_fract_y
_atom_site_fract_z
Re1 Re 0.000 0.000 0.000
Se1 Se 0.500 0.500 0.000
Se2 Se 0.500 0.500 0.500
N1 N 0.000 0.500 0.500
N2 N 0.500 0.000 0.500
```

Results
Magnetization   3.59 μB per formula unit
Relative energy among the computed polymorphs   1.516 eV per atom
Density   6.77 Mg/m³
Crystal system   tetragonal
Energy relative to the elements, uncorrected   2.091 eV per atom